1.
# AlSnAu

Crystalline AlSnAu at its relaxed geometry (GGA-PBE, the Alexandria database).

Cell and atoms, written as extended XYZ:
```
12
Lattice="8.732 0.000 0.000 0.000 4.345 0.000 0.000 0.000 7.262" Properties=species:S:1:pos:R:3 pbc="T T T"
Al 0.158 1.086 1.428
Al 4.208 3.259 5.059
Al 4.524 1.086 2.203
Al 8.574 3.259 5.834
Sn 1.364 3.259 3.460
Sn 3.002 1.086 7.090
Sn 5.730 3.259 0.171
Sn 7.368 1.086 3.802
Au 1.347 3.259 0.647
Au 3.019 1.086 4.278
Au 5.713 3.259 2.984
Au 7.385 1.086 6.615
```

Results
DOS at the Fermi energy	5.1	states/eV per cell
energy of formation	-2.73	kcal/mol of atoms

---

2.
# AlSnAu

Crystalline AlSnAu at its relaxed geometry (GGA-PBE, the Alexandria database).

Cell and atoms, written as extended XYZ:
```
6
Lattice="4.708 0.000 0.000 -0.040 4.954 0.000 -2.077 -1.699 5.650" Properties=species:S:1:pos:R:3 pbc="T T T"
Al 0.155 0.942 2.176
Al 2.436 2.314 3.474
Sn 1.232 3.482 0.234
Sn 1.359 -0.227 5.415
Au 0.074 3.322 3.193
Au 2.516 -0.066 2.457
```

Results
DOS at the Fermi energy	1.8	states/eV per cell
energy of formation	-3.79	kcal/mol of atoms

---

3.
# AlSnAu

Crystalline AlSnAu at its relaxed geometry (GGA-PBE, the Alexandria database).

Cell and atoms, written as extended XYZ:
```
12
Lattice="6.337 0.000 0.000 0.000 3.176 0.000 0.000 0.000 12.591" Properties=species:S:1:pos:R:3 pbc="T T T"
Al 0.672 0.794 2.416
Al 2.496 2.382 8.712
Al 3.841 0.794 3.879
Al 5.665 2.382 10.174
Sn 1.478 2.382 12.050
Sn 1.691 0.794 5.755
Sn 4.646 2.382 6.835
Sn 4.860 0.794 0.540
Au 0.422 0.794 8.342
Au 2.747 2.382 2.047
Au 3.591 0.794 10.544
Au 5.915 2.382 4.249
```

Results
DOS at the Fermi energy	5.3	states/eV per cell
energy of formation	-3.58	kcal/mol of atoms

---

4.
# Al2SnAu8

Crystalline Al2SnAu8 at its relaxed geometry (GGA-PBE, the Alexandria database).

Cell and atoms, written as extended XYZ:
```
11
Lattice="8.156 -1.970 0.000 8.156 1.970 0.000 -1.930 0.000 6.297" Properties=species:S:1:pos:R:3 pbc="T T T"
Al 3.083 0.000 1.047
Al 11.297 0.000 5.250
Sn 7.190 0.000 3.149
Au 0.343 0.000 1.440
Au 1.364 0.000 4.761
Au 4.143 0.000 3.593
Au 6.521 0.000 0.304
Au 7.860 0.000 5.993
Au 10.238 0.000 2.704
Au 13.017 0.000 1.536
Au 14.038 0.000 4.857
```

Results
DOS at the Fermi energy	2.3	states/eV per cell
energy of formation	-4.31	kcal/mol of atoms

---

5.
# AlSnAu3

Crystalline AlSnAu3 at its relaxed geometry (GGA-PBE, the Alexandria database).

Cell and atoms, written as extended XYZ:
```
10
Lattice="7.733 -2.076 0.000 7.733 2.076 0.000 -1.003 0.000 6.831" Properties=species:S:1:pos:R:3 pbc="T T T"
Al 0.899 0.000 3.344
Al 13.563 0.000 3.487
Sn 5.108 0.000 0.835
Sn 9.354 0.000 5.996
Au -0.376 0.000 5.538
Au 2.287 0.000 1.111
Au 4.334 0.000 3.607
Au 10.128 0.000 3.224
Au 12.175 0.000 5.720
Au 14.839 0.000 1.294
```

Results
DOS at the Fermi energy	3.2	states/eV per cell
energy of formation	-4.28	kcal/mol of atoms

---

6.
# AlSnAu6

Crystalline AlSnAu6 at its relaxed geometry (GGA-PBE, the Alexandria database).

Cell and atoms, written as extended XYZ:
```
8
Lattice="3.693 -3.666 0.000 3.693 3.666 0.000 -3.463 0.000 5.620" Properties=species:S:1:pos:R:3 pbc="T T T"
Al 0.000 0.000 0.000
Sn 3.693 0.000 0.000
Au 2.089 2.093 1.388
Au 0.467 0.000 2.629
Au 1.833 2.093 4.231
Au 2.089 -2.093 1.388
Au 3.456 0.000 2.991
Au 1.833 -2.093 4.231
```

Results
DOS at the Fermi energy	2.0	states/eV per cell
energy of formation	-3.15	kcal/mol of atoms

---

7.
# SrAl2Sn2Au7

Crystalline SrAl2Sn2Au7 at its relaxed geometry (GGA-PBE, the Alexandria database).

Cell and atoms, written as extended XYZ:
```
12
Lattice="3.633 -3.558 0.000 3.633 3.558 0.000 -3.155 0.000 10.836" Properties=species:S:1:pos:R:3 pbc="T T T"
Sr 0.000 0.000 0.000
Al -0.493 0.000 8.408
Al 4.604 0.000 2.428
Sn 0.119 0.000 3.609
Sn 3.991 0.000 7.226
Au 2.321 1.439 2.264
Au 0.795 0.000 6.194
Au 1.789 1.439 8.572
Au 3.633 0.000 0.000
Au 2.321 -1.439 2.264
Au 3.315 0.000 4.642
Au 1.789 -1.439 8.572
```

Results
DOS at the Fermi energy	4.7	states/eV per cell
energy of formation	-7.02	kcal/mol of atoms

---

8.
# SrAlSnAu3

Crystalline SrAlSnAu3 at its relaxed geometry (GGA-PBE, the Alexandria database).

Cell and atoms, written as extended XYZ:
```
12
Lattice="3.348 -6.489 0.000 3.348 6.489 0.000 0.000 0.000 6.810" Properties=species:S:1:pos:R:3 pbc="T T T"
Sr 3.348 3.854 5.107
Sr 3.348 -3.854 1.702
Al 3.348 0.426 5.107
Al 3.348 -0.426 1.702
Sn 3.348 4.801 1.702
Sn 3.348 -4.801 5.107
Au 1.484 0.000 0.000
Au 1.484 0.000 3.405
Au 3.348 2.117 1.702
Au 3.348 -2.117 5.107
Au 5.212 0.000 0.000
Au 5.212 0.000 3.405
```

Results
DOS at the Fermi energy	4.3	states/eV per cell
energy of formation	-9.18	kcal/mol of atoms